1.
Below is crystalline CsTe2Rh2 at its relaxed geometry, with properties calculated at the PBE level.

Lattice parameters (Å, degrees): 4.351 4.351 15.048 90.00 90.00 90.00
Space group I4/mmm (No. 139)
Inequivalent atoms, fractional coordinates:
Cs 0.000 0.000 0.000
Te 0.000 0.000 0.347
Rh 0.000 0.500 0.250

Properties
Distance to the lowest polymorph of the same formula = 0.0 meV per atom
E_form (uncorrected) = -0.4697 eV/atom
Total energy = -4.84 eV per atom

***

2.
Below is crystalline CsTeRh3 at its relaxed geometry, with properties calculated at the PBE level.

Lattice parameters (Å, degrees): 5.002 5.002 5.002 90.00 90.00 90.00
Space group Pm-3m (No. 221)
Inequivalent atoms, fractional coordinates:
Cs 0.000 0.000 0.000
Te 0.500 0.500 0.500
Rh 0.000 0.000 0.500

Properties
Distance to the lowest polymorph of the same formula = 1274.3 meV per atom
E_form (uncorrected) = 1.8676 eV/atom
Total energy = -3.34 eV per atom

***

3.
Below is crystalline CsTe2Rh at its relaxed geometry, with properties calculated at the PBE level.

Lattice parameters (Å, degrees): 8.337 8.337 8.509 90.00 90.00 90.00
Space group I-42d (No. 122)
Inequivalent atoms, fractional coordinates:
Cs 0.000 0.000 0.000
Te 0.127 0.250 0.625
Rh 0.000 0.000 0.500

Properties
E_form (uncorrected) = -0.4754 eV/atom
Total energy = -4.10 eV per atom

***

4.
Below is crystalline Cs2Te6Rh3 at its relaxed geometry, with properties calculated at the PBE level.

Lattice parameters (Å, degrees): 7.009 12.137 9.016 90.00 104.99 90.00
Space group C2/m (No. 12)
Inequivalent atoms, fractional coordinates:
Cs 0.000 0.167 0.000
Te 0.215 0.500 0.655
Te 0.219 0.165 0.654
Rh 0.000 0.000 0.500
Rh 0.000 0.332 0.500

Properties
E_form (uncorrected) = -0.5583 eV/atom
Total energy = -4.43 eV per atom

***

5.
Below is crystalline CsTe2Rh at its relaxed geometry, with properties calculated at the PBE level.

Lattice parameters (Å, degrees): 4.1980 4.1980 24.8303 90.00 90.00 120.00
Space group R3m (No. 160, hexagonal axes)
Inequivalent atoms, fractional coordinates:
Cs 0.0000 0.0000 0.0000
Te 0.0000 0.0000 0.2151
Te 0.0000 0.0000 0.4477
Rh 0.0000 0.0000 0.8311

Properties
E_form (uncorrected) = -0.5986 eV/atom
Total energy = -4.22 eV per atom

***

6.
Below is crystalline CsTe2Rh at its relaxed geometry, with properties calculated at the PBE level.

Lattice parameters (Å, degrees): 4.216 7.614 8.126 90.00 104.93 90.00
Space group P2_1/m (No. 11)
Inequivalent atoms, fractional coordinates:
Cs 0.036 0.250 0.067
Te 0.329 0.041 0.659
Rh 0.213 0.750 0.425

Properties
E_form (uncorrected) = -0.4384 eV/atom
Total energy = -4.06 eV per atom

***

7.
Below is crystalline CsTeRh3 at its relaxed geometry, with properties calculated at the PBE level.

Lattice parameters (Å, degrees): 5.021 5.021 5.021 90.00 90.00 90.00
Space group Pm-3m (No. 221)
Inequivalent atoms, fractional coordinates:
Cs 0.000 0.000 0.000
Te 0.500 0.500 0.500
Rh 0.000 0.500 0.500

Properties
Distance to the lowest polymorph of the same formula = 0.0 meV per atom
E_form (uncorrected) = 0.5933 eV/atom
Total energy = -4.62 eV per atom

***

8.
Below is crystalline CsTe2Rh2 at its relaxed geometry, with properties calculated at the PBE level.

Lattice parameters (Å, degrees): 4.957 4.957 12.507 90.00 90.00 90.00
Space group I4/mmm (No. 139)
Inequivalent atoms, fractional coordinates:
Cs 0.000 0.000 0.000
Te 0.000 0.500 0.250
Rh 0.000 0.000 0.322

Properties
Distance to the lowest polymorph of the same formula = 229.1 meV per atom
E_form (uncorrected) = -0.2406 eV/atom
Total energy = -4.61 eV per atom

***

9.
Below is crystalline Cs3Th3Te8Rh at its relaxed geometry, with properties calculated at the PBE level.

Lattice parameters (Å, degrees): 8.8995 8.8995 27.7256 90.00 90.00 120.00
Space group R-3m (No. 166, hexagonal axes)
Inequivalent atoms, fractional coordinates:
Cs 0.0000 0.5000 0.0000
Th 0.0000 0.5000 0.5000
Te 0.0000 0.0000 0.2343
Te 0.0299 0.5150 0.2254
Rh 0.0000 0.0000 0.5000

Properties
E_form (uncorrected) = -1.0012 eV/atom
Total energy = -4.82 eV per atom

***

10.
Below is crystalline Cs3U3Te8Rh at its relaxed geometry, with properties calculated at the PBE level.

Lattice parameters (Å, degrees): 8.6623 8.6623 27.8990 90.00 90.00 120.00
Space group R-3m (No. 166, hexagonal axes)
Inequivalent atoms, fractional coordinates:
Cs 0.0000 0.5000 0.0000
U 0.0000 0.5000 0.5000
Te 0.0000 0.0000 0.2323
Te 0.0282 0.5141 0.2258
Rh 0.0000 0.0000 0.5000

Properties
E_form (uncorrected) = -0.7108 eV/atom
Total energy = -5.30 eV per atom

***

11.
Below is crystalline CsUTe4Rh at its relaxed geometry, with properties calculated at the PBE level.

Lattice parameters (Å, degrees): 7.093 6.678 10.530 90.00 102.98 90.00
Space group P2_1/m (No. 11)
Inequivalent atoms, fractional coordinates:
Cs 0.230 0.250 0.033
U 0.252 0.250 0.539
Te 0.015 0.505 0.695
Te 0.441 0.750 0.215
Te 0.462 0.750 0.630
Rh 0.250 0.750 0.401

Properties
E_form (uncorrected) = -0.5526 eV/atom
Total energy = -5.13 eV per atom

***

12.
Below is crystalline CsTi3Rh at its relaxed geometry, with properties calculated at the PBE level.

Lattice parameters (Å, degrees): 4.959 4.959 4.959 90.00 90.00 90.00
Space group Pm-3m (No. 221)
Inequivalent atoms, fractional coordinates:
Cs 0.000 0.000 0.000
Ti 0.000 0.500 0.500
Rh 0.500 0.500 0.500

Properties
Distance to the lowest polymorph of the same formula = 0.0 meV per atom
Total energy = -5.69 eV per atom
Energy of formation = 0.6911 eV/atom

***

13.
Below is crystalline CsTiRh3 at its relaxed geometry, with properties calculated at the PBE level.

Lattice parameters (Å, degrees): 4.883 4.883 4.883 90.00 90.00 90.00
Space group Pm-3m (No. 221)
Inequivalent atoms, fractional coordinates:
Cs 0.000 0.000 0.000
Ti 0.500 0.500 0.500
Rh 0.000 0.000 0.500

Properties
Distance to the lowest polymorph of the same formula = 1427.6 meV per atom
Total energy = -4.10 eV per atom
Energy of formation = 2.0596 eV/atom

***

14.
Below is crystalline CsTi2Rh at its relaxed geometry, with properties calculated at the PBE level.

Lattice parameters (Å, degrees): 6.749 6.749 6.749 90.00 90.00 90.00
Space group Fm-3m (No. 225)
Inequivalent atoms, fractional coordinates:
Cs 0.000 0.000 0.000
Ti 0.250 0.250 0.250
Rh 0.000 0.000 0.500

Properties
Total energy = -5.08 eV per atom
Energy of formation = 0.9154 eV/atom

***

15.
Below is crystalline Cs3TiRh at its relaxed geometry, with properties calculated at the PBE level.

Lattice parameters (Å, degrees): 6.240 6.240 6.240 90.00 90.00 90.00
Space group Pm-3m (No. 221)
Inequivalent atoms, fractional coordinates:
Cs 0.000 0.000 0.500
Ti 0.500 0.500 0.500
Rh 0.000 0.000 0.000

Properties
Total energy = -2.30 eV per atom
Energy of formation = 1.2634 eV/atom

***

16.
Below is crystalline CsTiRh3 at its relaxed geometry, with properties calculated at the PBE level.

Lattice parameters (Å, degrees): 4.796 4.796 4.796 90.00 90.00 90.00
Space group Pm-3m (No. 221)
Inequivalent atoms, fractional coordinates:
Cs 0.000 0.000 0.000
Ti 0.500 0.500 0.500
Rh 0.000 0.500 0.500

Properties
Distance to the lowest polymorph of the same formula = 0.0 meV per atom
Total energy = -5.53 eV per atom
Energy of formation = 0.6321 eV/atom

***

17.
Below is crystalline CsTi3Rh at its relaxed geometry, with properties calculated at the PBE level.

Lattice parameters (Å, degrees): 4.858 4.858 4.858 90.00 90.00 90.00
Space group Pm-3m (No. 221)
Inequivalent atoms, fractional coordinates:
Cs 0.000 0.000 0.000
Ti 0.000 0.000 0.500
Rh 0.500 0.500 0.500

Properties
Distance to the lowest polymorph of the same formula = 1467.5 meV per atom
Total energy = -4.22 eV per atom
Energy of formation = 2.1586 eV/atom

***

18.
Below is crystalline CsTiRh2 at its relaxed geometry, with properties calculated at the PBE level.

Lattice parameters (Å, degrees): 7.420 7.420 7.235 90.00 90.00 90.00
Space group I-42d (No. 122)
Inequivalent atoms, fractional coordinates:
Cs 0.000 0.000 0.000
Ti 0.000 0.000 0.500
Rh 0.162 0.750 0.625

Properties
Total energy = -5.32 eV per atom
Energy of formation = 0.5447 eV/atom

***

19.
Below is crystalline CsTiVRh2 at its relaxed geometry, with properties calculated at the PBE level.

Lattice parameters (Å, degrees): 4.886 4.886 4.872 90.00 90.00 90.00
Space group P4/mmm (No. 123)
Inequivalent atoms, fractional coordinates:
Cs 0.000 0.000 0.000
Ti 0.000 0.000 0.500
V 0.500 0.500 0.500
Rh 0.000 0.500 0.000

Properties
Total energy = -4.16 eV per atom
Energy of formation = 2.3588 eV/atom

***

20.
Below is crystalline CsTiZnRh2 at its relaxed geometry, with properties calculated at the PBE level.

Lattice parameters (Å, degrees): 4.849 4.849 4.806 90.00 90.00 90.00
Space group P4/mmm (No. 123)
Inequivalent atoms, fractional coordinates:
Cs 0.000 0.000 0.000
Ti 0.500 0.500 0.000
Zn 0.500 0.500 0.500
Rh 0.000 0.500 0.500

Properties
Total energy = -3.97 eV per atom
Energy of formation = 0.9721 eV/atom

***

21.
Below is crystalline CsTl6Rh at its relaxed geometry, with properties calculated at the PBE level.

Lattice parameters (Å, degrees): 4.933 4.933 10.404 90.00 90.00 90.00
Space group P4/mmm (No. 123)
Inequivalent atoms, fractional coordinates:
Cs 0.000 0.000 0.000
Tl 0.000 0.500 0.351
Tl 0.500 0.500 0.154
Rh 0.000 0.000 0.500

Properties
Total energy = -2.78 eV per atom
Energy of formation = 0.0215 eV/atom

***

22.
Below is crystalline Cs2Tl2Rh at its relaxed geometry, with properties calculated at the PBE level.

Lattice parameters (Å, degrees): 7.500 7.500 6.547 90.00 90.00 90.00
Space group P4/mbm (No. 127)
Inequivalent atoms, fractional coordinates:
Cs 0.179 0.321 0.000
Tl 0.174 0.674 0.500
Rh 0.000 0.000 0.500

Properties
Total energy = -2.59 eV per atom
Energy of formation = 0.1694 eV/atom

***

23.
Below is crystalline CsTlRh3 at its relaxed geometry, with properties calculated at the PBE level.

Lattice parameters (Å, degrees): 5.036 5.036 5.036 90.00 90.00 90.00
Space group Pm-3m (No. 221)
Inequivalent atoms, fractional coordinates:
Cs 0.000 0.000 0.000
Tl 0.500 0.500 0.500
Rh 0.000 0.000 0.500

Properties
Total energy = -3.23 eV per atom
Energy of formation = 1.8275 eV/atom

***

24.
Below is crystalline Cs3TlRh at its relaxed geometry, with properties calculated at the PBE level.

Lattice parameters (Å, degrees): 6.238 6.238 6.238 90.00 90.00 90.00
Space group Pm-3m (No. 221)
Inequivalent atoms, fractional coordinates:
Cs 0.000 0.000 0.500
Tl 0.500 0.500 0.500
Rh 0.000 0.000 0.000

Properties
Total energy = -1.98 eV per atom
Energy of formation = 0.4757 eV/atom

***

25.
Below is crystalline CsTl9Rh2 at its relaxed geometry, with properties calculated at the PBE level.

Lattice parameters (Å, degrees): 9.5739 9.5739 4.3796 90.00 90.00 120.00
Space group P6/mmm (No. 191)
Inequivalent atoms, fractional coordinates:
Cs 0.0000 0.0000 0.0000
Tl 0.0000 0.5000 0.0000
Tl 0.2083 0.4166 0.5000
Rh 0.3333 0.6667 0.0000

Properties
Total energy = -3.11 eV per atom
Energy of formation = -0.0379 eV/atom

***

26.
Below is crystalline Cs2TlRh2 at its relaxed geometry, with properties calculated at the PBE level.

Lattice parameters (Å, degrees): 5.185 5.185 12.157 90.00 90.00 90.00
Space group I4/mmm (No. 139)
Inequivalent atoms, fractional coordinates:
Cs 0.000 0.500 0.250
Tl 0.000 0.000 0.000
Rh 0.000 0.000 0.400

Properties
Total energy = -2.81 eV per atom
Energy of formation = 0.9440 eV/atom